Record 1
Crystalline Pm3SmTmTh at its relaxed geometry. Source: the Alexandria database, functional PBE.

Geometry as POSCAR:
```
Pm3SmTmTh
1.0
8.0769 0.0000 0.0000
0.0000 5.1074 0.0000
-3.2208 0.0000 9.6804
Pm Sm Tm Th
6 2 2 2
Cartesian
1.2569 1.2768 0.4196
-0.3148 1.2768 5.2809
0.4966 3.8305 2.8463
4.3596 1.2768 6.8341
5.1709 3.8305 4.3995
3.5992 3.8305 9.2608
-1.1698 3.8305 7.6767
6.0259 1.2768 2.0037
1.2190 1.2768 8.4489
3.6372 3.8305 1.2315
2.8237 1.2768 3.6518
2.0325 3.8305 6.0286
```

space group: P2_1/m, No. 11
formation enthalpy at 0 K: 0.032 eV/atom
theoretical density: 8.2 g/cm³

Record 2
Crystalline Pm5SmTh2 at its relaxed geometry. Source: the Alexandria database, functional PBE.

Geometry as POSCAR:
```
Pm5SmTh2
1.0
-1.7811 5.6940 6.7297
1.7811 -5.6940 6.7297
1.7811 5.6940 -6.7297
Pm Sm Th
5 1 2
Cartesian
0.0000 0.0000 0.0000
1.7811 2.6820 -1.7565
1.7811 2.6820 1.7565
0.0000 3.0121 4.9732
0.0000 3.0121 8.4862
0.0000 5.6940 0.0000
0.0000 0.0000 3.4786
0.0000 0.0000 9.9809
```

space group: Immm, No. 71
formation enthalpy at 0 K: 0.104 eV/atom
theoretical density: 8.1 g/cm³

Record 3
Crystalline SrAcPm2 at its relaxed geometry. Source: the Alexandria database, functional PBE.

Geometry as POSCAR:
```
SrAcPm2
1.0
3.8645 0.0000 0.0000
0.0000 3.8645 0.0000
0.0000 0.0000 10.9296
Sr Ac Pm
1 1 2
Cartesian
0.0000 0.0000 0.0000
0.0000 0.0000 5.4648
1.9322 1.9322 2.9238
1.9322 1.9322 8.0057
```

space group: P4/mmm, No. 123
formation enthalpy at 0 K: 0.107 eV/atom
polymorph energy (0 for the lowest one): 0 meV/atom
theoretical density: 6.2 g/cm³

Record 4
Crystalline BaSb2TeRh at its relaxed geometry. Source: the Alexandria database, functional PBE.

Geometry as POSCAR:
```
BaSb2TeRh
1.0
5.1354 0.0000 0.0000
0.0000 5.1354 0.0000
0.0000 0.0000 5.9138
Ba Sb Te Rh
1 2 1 1
Cartesian
0.0000 0.0000 0.0000
0.0000 2.5677 2.9569
2.5677 0.0000 2.9569
2.5677 2.5677 0.0000
2.5677 2.5677 2.9569
```

E_form (uncorrected): -0.43 eV per atom
space group: P4/mmm, No. 123
polymorph energy (0 for the lowest one): 0 meV/atom
theoretical density: 6.5 g/cm³

Record 5
Crystalline SrLiHg2Rh at its relaxed geometry. Source: the Alexandria database, functional PBE.

Geometry as POSCAR:
```
SrLiHg2Rh
1.0
5.2815 0.0000 0.0000
0.0000 5.2815 0.0000
0.0000 0.0000 4.6496
Sr Li Hg Rh
1 1 2 1
Cartesian
0.0000 0.0000 0.0000
2.6407 2.6407 0.0000
0.0000 2.6407 2.3248
2.6407 0.0000 2.3248
2.6407 2.6407 2.3248
```

space group: P4/mmm, No. 123
formation enthalpy at 0 K: -0.208 eV/atom
theoretical density: 7.7 g/cm³

Record 6
Crystalline TaTi4Rh at its relaxed geometry. Source: the Alexandria database, functional PBE.

Geometry as POSCAR:
```
TaTi4Rh
1.0
3.7419 -2.1610 0.0000
3.7419 2.1610 0.0000
-2.4854 0.0000 7.1327
Ta Ti Rh
1 4 1
Cartesian
0.0000 0.0000 0.0000
0.0035 0.0000 2.6945
2.4955 0.0000 0.9403
2.5030 0.0000 6.1924
4.9950 0.0000 4.4382
2.4993 0.0000 3.5664
```

space group: C2/m, No. 12
formation enthalpy at 0 K: 0.277 eV/atom
polymorph energy (0 for the lowest one): 453 meV/atom
theoretical density: 6.8 g/cm³

What is the formula in the first record? Pm3SmTmTh

The lowest theoretical density belongs to which entry? SrAcPm2

Number 1 is which compound? Pm3SmTmTh